DFT (GGA-PBE) results for a relaxed InAu2Br crystal.

```
4
Lattice="4.9385 0.0000 0.0000 0.0000 2.6500 4.0110 0.0000 -2.6500 4.0110" Properties=species:S:1:pos:R:3 pbc="T T T"
In 0.0000 0.0000 0.0000
Au 0.0000 0.0000 3.0157
Au 2.4692 0.0000 1.6117
Br 2.4692 0.0000 5.5355
```

Results
Energy relative to the lowest polymorph listed for this composition   142 meV per atom
Uncorrected formation energy   -29 meV per atom
SG   Amm2 (38)